1.
The following is a DFT calculation (meta-GGA SCAN) of a PBEsol-optimized structure of La2AlHg.

Properties
The calculation puts the formation energy at -2.05 eV/f.u. As for the total energy: -164.2 eV for the cell shown.

Cell lengths 3.7472, 5.4146, 5.4146 Å; angles 90.00, 90.00, 90.00 degrees
Closest atoms and distances in Å follow each position.
Atoms (fractional coordinates):
La 0.0000 0.0000 0.5000  4 Hg 3.29, 4 Al 3.29
La 0.0000 0.5000 0.0000  4 Hg 3.29, 4 Al 3.29
Hg 0.5000 0.5000 0.5000  8 La 3.29
Al 0.5000 0.0000 0.0000  8 La 3.29

=====

2.
The following is a DFT calculation (meta-GGA SCAN) of a PBEsol-optimized structure of K2NiW.

Properties
The calculation puts the formation energy at 3.50 eV/f.u. As for the total energy: -99.0 eV for the cell shown.

Cell lengths 2.7750, 3.8450, 10.2666 Å; angles 90.00, 87.18, 90.00 degrees
Closest atoms and distances in Å follow each position.
Atoms (fractional coordinates):
K 0.9498 0.0000 0.9161  2 K 2.77
K 0.5348 0.5000 0.3432  2 K 2.77
Ni 0.0136 0.0000 0.5846  4 W 2.48, 2 Ni 2.77
W 0.5019 0.5000 0.6560  4 Ni 2.48, 2 W 2.77

=====

3.
The following is a DFT calculation (meta-GGA SCAN) of a PBEsol-optimized structure of YMn3Br.

Properties
The value obtained for the uncorrected formation energy is 1.24 eV/atom. As for the total energy: -95.9 eV for the cell shown.

Cell lengths 5.1171, 5.1171, 5.1171 Å; angles 90.00, 90.00, 90.00 degrees
Closest atoms and distances in Å follow each position.
Atoms (fractional coordinates):
Y 0.0000 0.0000 0.0000  6 Mn 2.56
Br 0.5000 0.5000 0.5000  12 Mn 3.62
Mn 0.0000 0.5000 0.0000  2 Y 2.56
Mn 0.5000 0.0000 0.0000  2 Y 2.56
Mn 0.0000 0.0000 0.5000  2 Y 2.56

=====

4.
The following is a DFT calculation (meta-GGA SCAN) of a PBEsol-optimized structure of Rb3OsRh.

Properties
The calculation puts the formation energy at 8.41 eV/f.u. As for the total energy: -159.5 eV for the cell shown.

Cell lengths 5.7454, 5.7454, 5.7454 Å; angles 90.00, 90.00, 90.00 degrees
Closest atoms and distances in Å follow each position.
Atoms (fractional coordinates):
Rb 0.5000 0.0000 0.0000  2 Rh 2.87
Rb 0.0000 0.0000 0.5000  2 Rh 2.87
Rb 0.0000 0.5000 0.0000  2 Rh 2.87
Rh 0.0000 0.0000 0.0000  6 Rb 2.87
Os 0.5000 0.5000 0.5000  12 Rb 4.06

=====

5.
The following is a DFT calculation (meta-GGA SCAN) of a PBEsol-optimized structure of Zn2InCl.

Properties
The value obtained for the uncorrected formation energy is -0.09 eV/atom. As for the total energy: -68.8 eV for the cell shown.

Cell lengths 3.1518, 5.3909, 5.6407 Å; angles 118.55, 106.22, 90.00 degrees
Closest atoms and distances in Å follow each position.
Atoms (fractional coordinates):
Zn 0.0322 0.0322 0.0644  2 Zn 2.55
Zn 0.7460 0.2460 0.4920  2 Cl 2.52, 2 Zn 2.55
Cl 0.4549 0.4549 0.9098  2 Zn 2.52
In 0.2669 0.7669 0.5337  6 Zn 2.95-3.13, 2 In 3.15, 2 Cl 3.22

=====

6.
The following is a DFT calculation (meta-GGA SCAN) of a PBEsol-optimized structure of K3Tl.

Properties
The calculation puts the formation energy at -0.13 eV/f.u. As for the total energy: -97.5 eV for the cell shown.

Cell lengths 5.1747, 6.0190, 7.1352 Å; angles 114.95, 111.26, 90.00 degrees
Closest atoms and distances in Å follow each position.
Atoms (fractional coordinates):
K 0.7319 0.7319 0.4637  2 Tl 3.78, 8 K 3.99-4.10
K 0.5000 0.0000 0.0000  4 Tl 3.97, 8 K 4.08-4.10
K 0.2681 0.2681 0.5363  2 Tl 3.78, 8 K 3.99-4.10
Tl 0.0000 0.5000 0.0000  8 K 3.78-3.97

=====

7.
The following is a DFT calculation (meta-GGA SCAN) of a PBEsol-optimized structure of AlCuNi.

Properties
The calculation puts the formation energy at -1.30 eV/f.u. As for the total energy: -161.7 eV for the cell shown.

Cell lengths 3.6377, 5.0674, 7.5898 Å; angles 90.00, 90.00, 90.00 degrees
Closest atoms and distances in Å follow each position.
Atoms (fractional coordinates):
Al 0.7500 0.6463 0.8999  5 Ni 2.45-2.56, 5 Cu 2.47-2.60
Al 0.7500 0.1463 0.6001  5 Ni 2.45-2.56, 5 Cu 2.47-2.60
Al 0.2500 0.3537 0.1001  5 Ni 2.45-2.56, 5 Cu 2.47-2.60
Al 0.2500 0.8537 0.3999  5 Ni 2.45-2.56, 5 Cu 2.47-2.60
Cu 0.7500 0.1352 0.9260  5 Al 2.47-2.60, 2 Cu 2.54, 5 Ni 2.56-2.62
Cu 0.7500 0.6352 0.5740  5 Al 2.47-2.60, 2 Cu 2.54, 5 Ni 2.56-2.62
Cu 0.2500 0.3648 0.4260  5 Al 2.47-2.60, 2 Cu 2.54, 5 Ni 2.56-2.62
Cu 0.2500 0.8648 0.0740  5 Al 2.47-2.60, 2 Cu 2.54, 5 Ni 2.56-2.62
Ni 0.7500 0.6069 0.2364  5 Al 2.45-2.56, 2 Ni 2.54, 5 Cu 2.56-2.62
Ni 0.2500 0.3931 0.7636  5 Al 2.45-2.56, 2 Ni 2.54, 5 Cu 2.56-2.62
Ni 0.2500 0.8931 0.7364  5 Al 2.45-2.56, 2 Ni 2.54, 5 Cu 2.56-2.62
Ni 0.7500 0.1069 0.2636  5 Al 2.45-2.56, 2 Ni 2.54, 5 Cu 2.56-2.62

=====

8.
The following is a DFT calculation (meta-GGA SCAN) of a PBEsol-optimized structure of InCuMo2O8.

Properties
The value obtained for the uncorrected formation energy is -1.85 eV/atom. As for the total energy: -380.8 eV for the cell shown.

Cell lengths 4.9299, 7.4739, 7.4739 Å; angles 101.10, 90.81, 90.81 degrees
Closest atoms and distances in Å follow each position.
Atoms (fractional coordinates):
O 0.4078 0.1963 0.5719  1 Mo 1.79
O 0.5543 0.0964 0.1962  2 Mo 1.95-2.16, 1 In 2.10
O 0.5922 0.8037 0.4281  1 Mo 1.79
O 0.0626 0.6916 0.5858  1 Mo 1.86, 1 Cu 2.04
O 0.6038 0.3158 0.9447  1 Mo 1.80
O 0.0543 0.1962 0.0964  2 Mo 1.95-2.16, 1 In 2.10
O 0.1038 0.9447 0.3158  1 Mo 1.80
O 0.0922 0.4281 0.8037  1 Mo 1.79
O 0.8962 0.0553 0.6842  1 Mo 1.80
O 0.5626 0.5858 0.6916  1 Mo 1.86, 1 Cu 2.04
O 0.9457 0.8038 0.9036  2 Mo 1.95-2.16, 1 In 2.10
O 0.9078 0.5719 0.1963  1 Mo 1.79
O 0.9374 0.3084 0.4142  1 Mo 1.86, 1 Cu 2.04
O 0.4374 0.4142 0.3084  1 Mo 1.86, 1 Cu 2.04
O 0.4457 0.9036 0.8038  2 Mo 1.95-2.16, 1 In 2.10
O 0.3962 0.6842 0.0553  1 Mo 1.80
Mo 0.7533 0.8285 0.6483  4 O 1.79-1.95
Mo 0.2533 0.6483 0.8285  4 O 1.79-1.95
Mo 0.7467 0.3517 0.1715  4 O 1.79-1.95
Mo 0.2467 0.1715 0.3517  4 O 1.79-1.95
In 0.7500 0.8442 0.1558  6 O 2.10-2.26
In 0.2500 0.1558 0.8442  6 O 2.10-2.26
Cu 0.2500 0.6599 0.3401  4 O 2.02-2.04
Cu 0.7500 0.3401 0.6599  4 O 2.02-2.04

=====

9.
The following is a DFT calculation (meta-GGA SCAN) of a PBEsol-optimized structure of MgZr2Re.

Properties
The calculation puts the formation energy at -0.83 eV/f.u. As for the total energy: -138.3 eV for the cell shown.

Cell lengths 3.3320, 3.3320, 7.0386 Å; angles 90.00, 90.00, 90.00 degrees
Closest atoms and distances in Å follow each position.
Atoms (fractional coordinates):
Re 0.5000 0.5000 0.5000  8 Zr 2.82
Mg 0.5000 0.5000 0.0000  8 Zr 3.07, 4 Mg 3.33
Zr 0.0000 0.0000 0.2801  4 Re 2.82, 4 Mg 3.07, 1 Zr 3.09
Zr 0.0000 0.0000 0.7199  4 Re 2.82, 4 Mg 3.07, 1 Zr 3.09

=====

10.
The following is a DFT calculation (meta-GGA SCAN) of a PBEsol-optimized structure of LiCoS3.

Properties
The value obtained for the uncorrected formation energy is 0.01 eV/atom. As for the total energy: -48.5 eV for the cell shown.

Cell lengths 4.4293, 4.4293, 4.4293 Å; angles 90.00, 90.00, 90.00 degrees
Closest atoms and distances in Å follow each position.
Atoms (fractional coordinates):
Li 0.5000 0.5000 0.5000  12 S 3.13
S 0.5000 0.0000 0.0000  2 Co 2.21
S 0.0000 0.5000 0.0000  2 Co 2.21
S 0.0000 0.0000 0.5000  2 Co 2.21
Co 0.0000 0.0000 0.0000  6 S 2.21

=====

11.
The following is a DFT calculation (meta-GGA SCAN) of a PBEsol-optimized structure of K2YAlC.

Properties
The calculation puts the formation energy at 10.13 eV/f.u. As for the total energy: -52.2 eV for the cell shown.

Cell lengths 5.4386, 7.2247, 7.2247 Å; angles 90.00, 90.00, 90.00 degrees
Closest atoms and distances in Å follow each position.
Atoms (fractional coordinates):
K 0.0000 0.0000 0.5000  2 Y 3.61
K 0.0000 0.5000 0.0000  2 Y 3.61
Al 0.5000 0.0000 0.0000  2 Y 2.72
Y 0.0000 0.0000 0.0000  2 Al 2.72
C 0.5000 0.5000 0.5000  8 K 4.52

=====

12.
The following is a DFT calculation (meta-GGA SCAN) of a PBEsol-optimized structure of YNClF2.

Properties
The value obtained for the uncorrected formation energy is -1.24 eV/atom. As for the total energy: -58.4 eV for the cell shown.

Cell lengths 3.9838, 3.9838, 4.4860 Å; angles 90.00, 90.00, 90.00 degrees
Closest atoms and distances in Å follow each position.
Atoms (fractional coordinates):
Cl 0.5000 0.5000 0.5000  4 Y 2.82, 8 F 3.00
N 0.0000 0.0000 0.0000  4 F 1.99
Y 0.0000 0.0000 0.5000  2 N 2.24
F 0.0000 0.5000 0.0000  2 N 1.99
F 0.5000 0.0000 0.0000  2 N 1.99

=====

no.,size of the total moment (μB per formula unit)
1,0.43
2,0.02
3,12.81
4,3.41
5,0.00
6,0.00
7,0.00
8,0.00
9,0.00
10,2.50
11,0.87
12,0.00